1.
# Nd2Sm6Ho3Mg

An optimized crystal structure of Nd2Sm6Ho3Mg (PBE-GGA, Alexandria via LeMat-Bulk).

Properties
Magnetization (μB per cell): 0.00
Formation energy (eV per atom): 0.014

a = 6.2071 Å, b = 6.2071 Å, c = 11.8427 Å
α = 95.03°, β = 95.03°, γ = 120.04°
Atoms (fractional coordinates):
Nd 0.1669 0.8331 0.0000
Nd 0.8331 0.1669 0.0000
Sm 0.0855 0.4165 0.7476
Sm 0.2523 0.2523 0.2534
Sm 0.4165 0.0855 0.7476
Sm 0.5835 0.9145 0.2524
Sm 0.7477 0.7477 0.7466
Sm 0.9145 0.5835 0.2524
Ho 0.0000 0.0000 0.5000
Ho 0.3341 0.6659 0.5000
Ho 0.6659 0.3341 0.5000
Mg 0.5000 0.5000 0.0000

2.
# Nd6Sm2HoMg

An optimized crystal structure of Nd6Sm2HoMg (PBE-GGA, Alexandria via LeMat-Bulk).

Properties
Magnetization (μB per cell): 0.00
Formation energy (eV per atom): 0.111

a = 8.8472 Å, b = 8.8472 Å, c = 9.7213 Å
α = 94.49°, β = 94.49°, γ = 116.32°
Atoms (fractional coordinates):
Nd 0.0015 0.5704 0.1943
Nd 0.1243 0.7584 0.5508
Nd 0.2416 0.8757 0.9492
Nd 0.2949 0.4969 0.3864
Nd 0.4296 0.9985 0.3057
Nd 0.4969 0.2949 0.8864
Nd 0.5031 0.7051 0.1136
Nd 0.5704 0.0015 0.6943
Nd 0.7051 0.5031 0.6136
Nd 0.7584 0.1243 0.0508
Nd 0.8757 0.2416 0.4492
Nd 0.9985 0.4296 0.8057
Sm 0.2010 0.2971 0.0505
Sm 0.2971 0.2010 0.5505
Sm 0.7029 0.7990 0.4495
Sm 0.7990 0.7029 0.9495
Ho 0.0185 0.9815 0.2500
Ho 0.9815 0.0185 0.7500
Mg 0.4082 0.5918 0.7500
Mg 0.5918 0.4082 0.2500

3.
# Nd6SmHo2Mg

An optimized crystal structure of Nd6SmHo2Mg (PBE-GGA, Alexandria via LeMat-Bulk).

Properties
Magnetization (μB per cell): 0.00
Formation energy (eV per atom): 0.107

a = 8.6354 Å, b = 8.6354 Å, c = 9.5013 Å
α = 96.36°, β = 96.36°, γ = 105.88°
Atoms (fractional coordinates):
Nd 0.0372 0.4659 0.6713
Nd 0.0638 0.8273 0.9041
Nd 0.1727 0.9362 0.5959
Nd 0.2412 0.5778 0.0752
Nd 0.4222 0.7588 0.4248
Nd 0.4659 0.0372 0.1713
Nd 0.5341 0.9628 0.8287
Nd 0.5778 0.2412 0.5752
Nd 0.7588 0.4222 0.9248
Nd 0.8273 0.0638 0.4041
Nd 0.9362 0.1727 0.0959
Nd 0.9628 0.5341 0.3287
Sm 0.4352 0.5648 0.7500
Sm 0.5648 0.4352 0.2500
Ho 0.2316 0.3005 0.4054
Ho 0.3005 0.2316 0.9054
Ho 0.6995 0.7684 0.0946
Ho 0.7684 0.6995 0.5946
Mg 0.0977 0.9023 0.2500
Mg 0.9023 0.0977 0.7500

Q: The highest formation energy belongs to which entry?
A: Nd6Sm2HoMg

Q: Among the records above, which one has the highest formation energy?
A: Nd6Sm2HoMg